Computed, not measured: a relaxed Na3MgW crystal at the PBE-GGA level of DFT.

Computed properties:
electronic total energy: -2.1788 eV/atom
DFT formation energy: 1.522 eV per atom
polymorph energy (0 for the lowest one): 0 meV/atom
total moment: 5.1 μB/cell
V: 206.6 Å³/cell

Unit cell a=5.912 b=5.912 c=5.912 alpha=90.00 beta=90.00 gamma=90.00
Last column: magnetic moment on the atom in μB.
Fractional coordinates of all 5 atoms:
1 Na 0.000 0.500 0.000  0.03
2 Na 0.000 0.000 0.500  0.02
3 Na 0.500 0.000 0.000  0.04
4 Mg 0.500 0.500 0.500  0.00
5 W 0.000 0.000 0.000  3.38